# 1
This record from OQMD via LeMat-Bulk describes an optimized crystal structure of SmPaAs. The functional is PBE.

Output
Final energy (eV/atom): -5.8206

Cell lengths 6.8078, 6.8078, 6.8078 Å; angles 90.00, 90.00, 90.00 degrees
With the nearest neighbours (Å) after each atom.
Space group F-43m (No. 216)
Inequivalent atoms, fractional coordinates:
Sm: 0.0000 0.0000 0.0000 x4  4 As 2.95, 4 Pa 2.95
Pa: 0.2500 0.2500 0.2500 x4  4 Sm 2.95
As: 0.2500 0.2500 0.7500 x4  4 Sm 2.95

***

# 2
This record from OQMD via LeMat-Bulk describes an optimized crystal structure of LaBiIrAu. The functional is PBE.

Output
Final energy (eV/atom): -5.6151
Offset from the most stable computed form (kJ/mol of atoms): 0.0

Cell lengths 7.2045, 7.2045, 7.2045 Å; angles 90.00, 90.00, 90.00 degrees
With the nearest neighbours (Å) after each atom.
Space group F-43m (No. 216)
Inequivalent atoms, fractional coordinates:
La: 0.0000 0.0000 0.0000 x4  4 Ir 3.12, 4 Au 3.12
Bi: 0.0000 0.0000 0.5000 x4  4 Au 3.12, 4 Ir 3.12
Ir: 0.2500 0.2500 0.2500 x4  4 La 3.12, 4 Bi 3.12
Au: 0.2500 0.2500 0.7500 x4  4 La 3.12, 4 Bi 3.12

***

# 3
This record from OQMD via LeMat-Bulk describes an optimized crystal structure of SmZnGa2Ir. The functional is PBE.

Output
Final energy (eV/atom): -4.7011

Cell lengths 4.1037, 4.1037, 10.9332 Å; angles 90.00, 90.00, 90.00 degrees
With the nearest neighbours (Å) after each atom.
Space group I-4m2 (No. 119)
Inequivalent atoms, fractional coordinates:
Sm: 0.0000 0.0000 0.0000 x2  8 Ga 3.17, 4 Ir 3.42, 4 Zn 3.42
Zn: 0.0000 0.5000 0.2500 x2  4 Ga 2.52
Ga: 0.0000 0.0000 0.3837 x4  2 Ir 2.52, 2 Zn 2.52, 1 Ga 2.54
Ir: 0.0000 0.5000 0.7500 x2  4 Ga 2.52

***

# 4
This record from OQMD via LeMat-Bulk describes an optimized crystal structure of Cu14Te. The functional is PBE.

Output
Final energy (eV/atom): -3.5877
Offset from the most stable computed form (kJ/mol of atoms): 5.0

Cell lengths 7.1947, 2.7290, 29.3030 Å; angles 90.00, 92.57, 90.00 degrees
With the nearest neighbours (Å) after each atom.
Space group P2_1/m (No. 11)
Inequivalent atoms, fractional coordinates:
Cu: 0.0110 0.2500 0.2587 x2  9 Cu 2.49-2.73
Cu: 0.0265 0.2500 0.8849 x2  12 Cu 2.51-2.73
Cu: 0.0827 0.7500 0.0310 x2  12 Cu 2.51-2.73
Cu: 0.1398 0.2500 0.1777 x2  12 Cu 2.50-2.73
Cu: 0.1447 0.2500 0.8031 x2  12 Cu 2.49-2.73
Cu: 0.1932 0.7500 0.9478 x2  12 Cu 2.51-2.73
Cu: 0.2483 0.2500 0.0926 x2  12 Cu 2.51-2.73
Cu: 0.2656 0.2500 0.7211 x2  7 Cu 2.51-2.73, 2 Te 2.73
Cu: 0.2957 0.7500 0.2415 x2  9 Cu 2.53-2.73, 2 Te 2.78
Cu: 0.3073 0.7500 0.8658 x2  12 Cu 2.52-2.73
Cu: 0.3606 0.2500 0.0100 x2  12 Cu 2.52-2.73
Cu: 0.4115 0.7500 0.1544 x2  12 Cu 2.49-2.73
Cu: 0.4282 0.7500 0.7846 x2  11 Cu 2.49-2.73
Cu: 0.4730 0.2500 0.9278 x2  12 Cu 2.52-2.73
Te: 0.4503 0.2500 0.3167 x2  2 Te 2.73, 4 Cu 2.73-2.78

***

# 5
This record from OQMD via LeMat-Bulk describes an optimized crystal structure of CdS. The functional is PBE.

Output
Final energy (eV/atom): -2.9324

Cell lengths 10.7542, 5.3413, 5.3402 Å; angles 90.00, 90.00, 90.00 degrees
With the nearest neighbours (Å) after each atom.
Space group Aem2 (No. 39)
Inequivalent atoms, fractional coordinates:
Cd: 0.1089 0.2500 0.0000 x4  5 S 2.68-2.70
S: 0.1406 0.2500 0.4987 x4  5 Cd 2.68-2.70

***

# 6
This record from OQMD via LeMat-Bulk describes an optimized crystal structure of SiBW. The functional is PBE.

Output
Final energy (eV/atom): -7.3226
Offset from the most stable computed form (kJ/mol of atoms): 45.1

Cell lengths 5.5865, 5.5865, 5.5865 Å; angles 90.00, 90.00, 90.00 degrees
With the nearest neighbours (Å) after each atom.
Space group F-43m (No. 216)
Inequivalent atoms, fractional coordinates:
Si: 0.0000 0.0000 0.0000 x4  4 W 2.42
B: 0.0000 0.0000 0.5000 x4  4 W 2.42
W: 0.2500 0.2500 0.7500 x4  4 B 2.42, 4 Si 2.42

***

# 7
This record from OQMD via LeMat-Bulk describes an optimized crystal structure of AsAu124. The functional is PBE.

Output
Final energy (eV/atom): -3.2684

Cell lengths 20.6260, 20.6260, 20.6260 Å; angles 90.00, 90.00, 90.00 degrees
With the nearest neighbours (Å) after each atom.
Space group Fm-3m (No. 225)
Inequivalent atoms, fractional coordinates:
As: 0.0000 0.0000 0.0000 x4  12 Au 2.92
Au: 0.0000 0.0000 0.2000 x24  12 Au 2.92
Au: 0.0000 0.0000 0.4000 x24  12 Au 2.92
Au: 0.0000 0.1000 0.1000 x48  11 Au 2.92, 1 As 2.92
Au: 0.0000 0.1000 0.3000 x96  12 Au 2.92
Au: 0.0000 0.2000 0.2000 x48  12 Au 2.92
Au: 0.1000 0.1000 0.2000 x96  12 Au 2.92
Au: 0.1000 0.1000 0.4000 x32  12 Au 2.92
Au: 0.1000 0.2000 0.3000 x96  12 Au 2.92
Au: 0.2000 0.2000 0.2000 x32  12 Au 2.92

***

# 8
This record from OQMD via LeMat-Bulk describes an optimized crystal structure of Tb2YCu4Sn2Ge2. The functional is PBE.

Output
Final energy (eV/atom): -4.9507
Offset from the most stable computed form (kJ/mol of atoms): 0.0

Cell lengths 4.3753, 6.7133, 14.5290 Å; angles 90.00, 90.00, 90.00 degrees
With the nearest neighbours (Å) after each atom.
Space group Immm (No. 71)
Inequivalent atoms, fractional coordinates:
Tb: 0.0000 0.0000 0.1255 x4  6 Cu 3.06-3.37, 4 Ge 3.12, 2 Sn 3.16
Y: 0.0000 0.5000 0.0000 x2  4 Ge 3.02, 2 Sn 3.16
Cu: 0.0000 0.1895 0.3405 x8  1 Ge 2.45, 1 Cu 2.54, 3 Sn 2.67-2.74
Sn: 0.0000 0.5000 0.2177 x4  6 Cu 2.67-2.74
Ge: 0.0000 0.3094 0.5000 x4  2 Cu 2.45, 1 Ge 2.56

***

# 9
This record from OQMD via LeMat-Bulk describes an optimized crystal structure of Ho4BiOs. The functional is PBE.

Output
Final energy (eV/atom): -6.0831

Cell lengths 8.9431, 13.4067, 6.1488 Å; angles 90.00, 112.91, 90.00 degrees
With the nearest neighbours (Å) after each atom.
Space group C2/c (No. 15)
Inequivalent atoms, fractional coordinates:
Ho: 0.1085 0.1666 0.0657 x8  2 Os 2.85-2.86
Ho: 0.2261 0.4296 0.3524 x8  2 Os 2.87-2.91
Bi: 0.0000 0.3723 0.7500 x4  8 Ho 3.25-3.54
Os: 0.0000 0.0005 0.7500 x4  8 Ho 2.85-2.91, 2 Os 3.07

***

# 10
This record from OQMD via LeMat-Bulk describes an optimized crystal structure of AcSmPO. The functional is PBE.

Output
Final energy (eV/atom): -6.7622
Offset from the most stable computed form (kJ/mol of atoms): 0.0

Cell lengths 4.5266, 4.5266, 9.3972 Å; angles 90.00, 90.00, 90.00 degrees
With the nearest neighbours (Å) after each atom.
Space group P4/nmm (No. 129, origin choice 2)
Inequivalent atoms, fractional coordinates:
Ac: 0.2500 0.2500 0.1183 x2  4 O 2.52
Sm: 0.2500 0.7500 0.5000 x2  4 P 2.84
P: 0.2500 0.2500 0.6820 x2  4 Sm 2.84
O: 0.2500 0.7500 0.0000 x2  4 Ac 2.52

***

# 11
This record from OQMD via LeMat-Bulk describes an optimized crystal structure of SmCuSi. The functional is PBE.

Output
Final energy (eV/atom): -5.0777

Cell lengths 6.2449, 6.2449, 6.2449 Å; angles 90.00, 90.00, 90.00 degrees
With the nearest neighbours (Å) after each atom.
Space group F-43m (No. 216)
Inequivalent atoms, fractional coordinates:
Sm: 0.0000 0.0000 0.0000 x4  4 Cu 2.70
Cu: 0.2500 0.2500 0.7500 x4  4 Sm 2.70, 4 Si 2.70
Si: 0.0000 0.0000 0.5000 x4  4 Cu 2.70

***

# 12
This record from OQMD via LeMat-Bulk describes an optimized crystal structure of SmIn2Pt2. The functional is PBE.

Output
Final energy (eV/atom): -5.1766

Cell lengths 4.2884, 4.2884, 12.0219 Å; angles 90.00, 90.00, 90.00 degrees
With the nearest neighbours (Å) after each atom.
Space group I4/mmm (No. 139)
Inequivalent atoms, fractional coordinates:
Sm: 0.0000 0.0000 0.0000 x2  8 Pt 3.30
In: 0.0000 0.5000 0.2500 x4  4 Pt 2.75, 4 In 3.03
Pt: 0.0000 0.0000 0.3927 x4  1 Pt 2.58, 4 In 2.75